1.
Computed, not measured: crystalline La3Ni3Ir at its relaxed geometry at the GGA-PBE level of DFT.

Values from the calculation:
For the density of states at the Fermi level, the calculation gives 21.09 states/eV/cell. The calculation puts the energy relative to the elements at -283 kJ/mol of formula units. Its size of the total moment is 0.000 Bohr magnetons per cell. For the electronic total energy, the calculation gives -6.27 eV/atom.

a = 4.4619 Å, b = 9.6394 Å, c = 13.6357 Å
α = 90.00°, β = 90.00°, γ = 90.00°
Space group Cmcm (No. 63)
Inequivalent atoms, fractional coordinates:
La (0.0000, 0.0318, 0.2500) [4 per cell]
La (0.0000, 0.2644, 0.5983) [8 per cell]
Ni (0.0000, 0.3313, 0.2500) [4 per cell]
Ni (0.0000, 0.4462, 0.0861) [8 per cell]
Ir (0.0000, 0.0000, 0.0000) [4 per cell]

=====

2.
Computed, not measured: crystalline Cs2ZnHgBi at its relaxed geometry at the GGA-PBE level of DFT.

Values from the calculation:
For the density of states at the Fermi level, the calculation gives 2.36 states/eV/cell. The calculation puts the energy relative to the elements at -65 kJ/mol of formula units. Its size of the total moment is 0.000 Bohr magnetons per cell. For the electronic total energy, the calculation gives -1.57 eV/atom.

a = 7.1189 Å, b = 7.1189 Å, c = 5.4126 Å
α = 90.00°, β = 90.00°, γ = 90.00°
Space group P4/mmm (No. 123)
Inequivalent atoms, fractional coordinates:
Cs (0.0000, 0.5000, 0.0000) [2 per cell]
Zn (0.0000, 0.0000, 0.0000) [1 per cell]
Hg (0.5000, 0.5000, 0.5000) [1 per cell]
Bi (0.0000, 0.0000, 0.5000) [1 per cell]

=====

3.
Computed, not measured: crystalline Sm4Tm4MgO12 at its relaxed geometry at the GGA-PBE level of DFT.

Values from the calculation:
Its size of the total moment is 0.000 Bohr magnetons per cell. For the electronic total energy, the calculation gives -7.77 eV/atom.

a = 5.7658 Å, b = 8.4610 Å, c = 6.1361 Å
α = 90.00°, β = 91.40°, γ = 90.00°
Space group Pm (No. 6)
Inequivalent atoms, fractional coordinates:
Sm (0.0000, 0.0000, 0.0000) [1 per cell]
Sm (0.0891, 0.5000, 0.8675) [1 per cell]
Sm (0.5332, 0.5000, 0.3814) [1 per cell]
Sm (0.6259, 0.0000, 0.5971) [1 per cell]
Tm (0.0621, 0.2503, 0.4309) [2 per cell]
Tm (0.5715, 0.2737, 0.9297) [2 per cell]
Mg (0.4924, 0.0000, 0.1758) [1 per cell]
O (0.2132, 0.0000, 0.3624) [1 per cell]
O (0.2700, 0.3297, 0.1373) [2 per cell]
O (0.3640, 0.0000, 0.8769) [1 per cell]
O (0.3696, 0.3299, 0.6338) [2 per cell]
O (0.7213, 0.5000, 0.0119) [1 per cell]
O (0.7324, 0.1717, 0.2501) [2 per cell]
O (0.8898, 0.2037, 0.7460) [2 per cell]
O (0.9238, 0.5000, 0.4928) [1 per cell]

=====

4.
Computed, not measured: crystalline HoErCl3 at its relaxed geometry at the GGA-PBE level of DFT.

Values from the calculation:
Its size of the total moment is 0.000 Bohr magnetons per cell. For the electronic total energy, the calculation gives -4.76 eV/atom.

a = 16.4563 Å, b = 3.7860 Å, c = 10.5057 Å
α = 90.00°, β = 121.90°, γ = 90.00°
Space group C2/m (No. 12)
Inequivalent atoms, fractional coordinates:
Ho (0.1380, 0.0000, 0.2888) [4 per cell]
Er (0.0788, 0.5000, 0.9538) [4 per cell]
Cl (0.0366, 0.0000, 0.7408) [4 per cell]
Cl (0.1655, 0.5000, 0.5077) [4 per cell]
Cl (0.2166, 0.0000, 0.1165) [4 per cell]

=====

5.
Computed, not measured: crystalline BeTlP2O at its relaxed geometry at the GGA-PBE level of DFT.

Values from the calculation:
For the density of states at the Fermi level, the calculation gives 5.82 states/eV/cell. Its size of the total moment is 0.004 Bohr magnetons per cell. For the electronic total energy, the calculation gives -2.94 eV/atom.

a = 5.2018 Å, b = 5.2018 Å, c = 4.0227 Å
α = 90.00°, β = 90.00°, γ = 90.00°
Space group P4/mmm (No. 123)
Inequivalent atoms, fractional coordinates:
Be (0.0000, 0.0000, 0.0000) [1 per cell]
Tl (0.5000, 0.5000, 0.5000) [1 per cell]
P (0.0000, 0.5000, 0.5000) [2 per cell]
O (0.5000, 0.5000, 0.0000) [1 per cell]

=====

6.
Computed, not measured: crystalline CoReOs2 at its relaxed geometry at the GGA-PBE level of DFT.

Values from the calculation:
For the density of states at the Fermi level, the calculation gives 10.04 states/eV/cell. The calculation puts the energy relative to the elements at 47 kJ/mol of formula units. Its size of the total moment is 0.000 Bohr magnetons per cell. For the electronic total energy, the calculation gives -10.38 eV/atom.

a = 8.7990 Å, b = 2.6930 Å, c = 4.6868 Å
α = 90.00°, β = 99.63°, γ = 90.00°
Space group C2/m (No. 12)
Inequivalent atoms, fractional coordinates:
Co (0.0000, 0.0000, 0.0000) [2 per cell]
Re (0.0000, 0.5000, 0.5000) [2 per cell]
Os (0.2503, 0.0000, 0.7621) [4 per cell]